1.
This record from the Alexandria database describes an optimized crystal structure of Co2Ni8Pd. The functional is PBE.

The calculation puts the formation energy at 0.11 eV/f.u. Its crystal system is monoclinic.

The structure belongs to space group C2/m (No. 12); the cell edges are 12.8907, 3.5491 and 5.6439 Å and the angles 90.00°, 105.11° and 90.00°. The inequivalent atoms are Co at (0.2286, 0.0000, 0.1342), Ni at (0.0492, 0.0000, 0.2192), Ni at (0.0937, 0.5000, 0.9624), Ni at (0.1416, 0.0000, 0.6927), Ni at (0.1853, 0.5000, 0.4095) and Pd at (0.0000, 0.5000, 0.5000).


2.
This record from the Alexandria database describes an optimized crystal structure of BaLuPt2. The functional is PBE.

The calculation puts the formation energy at -3.79 eV/f.u. Its crystal system is trigonal.

The structure belongs to space group R-3m (No. 166, hexagonal axes); the cell edges are 4.6337, 4.6337 and 17.6375 Å and the angles 90.00°, 90.00° and 120.00°. The inequivalent atoms are Ba at (0.0000, 0.0000, 0.0000), Lu at (0.0000, 0.0000, 0.5000) and Pt at (0.0000, 0.0000, 0.2118).